# 1
Here is crystalline CoSnHgMo at its relaxed geometry from the Open Quantum Materials Database. Energies are from PBE-GGA.

Cell lengths 4.6007, 4.6007, 4.6007 Å; angles 60.00, 60.00, 60.00 degrees
Fractional coordinates of all 4 atoms:
Co1 0.0000 0.0000 0.0000
Sn1 0.7500 0.7500 0.7500
Hg1 0.2500 0.2500 0.2500
Mo1 0.5000 0.5000 0.5000

Relative energy among the computed polymorphs = 0.000 eV per atom
E_tot = -20.0 eV for the cell shown
Magnetic moment = 2.026 μB/cell

# 2
Here is crystalline NbCo2Hg at its relaxed geometry from the Open Quantum Materials Database. Energies are from PBE-GGA.

Cell lengths 4.4177, 4.4177, 4.4177 Å; angles 60.00, 60.00, 60.00 degrees
Fractional coordinates of all 4 atoms:
Nb1 0.0000 0.0000 0.0000
Co1 0.5000 0.5000 0.5000
Co2 0.7500 0.7500 0.7500
Hg1 0.2500 0.2500 0.2500

Formation energy from the elements = 1.82 eV per formula unit
E_tot = -22.8 eV for the cell shown
Magnetic moment = 2.641 μB/cell

# 3
Here is crystalline Nb2CoHg at its relaxed geometry from the Open Quantum Materials Database. Energies are from PBE-GGA.

Cell lengths 4.5681, 4.5681, 4.5681 Å; angles 60.00, 60.00, 60.00 degrees
Fractional coordinates of all 4 atoms:
Nb1 0.0000 0.0000 0.0000
Nb2 0.2500 0.2500 0.2500
Co1 0.5000 0.5000 0.5000
Hg1 0.7500 0.7500 0.7500

Formation energy from the elements = 1.70 eV per formula unit
E_tot = -25.9 eV for the cell shown
Magnetic moment = 2.492 μB/cell

# 4
Here is crystalline NbCoHg2 at its relaxed geometry from the Open Quantum Materials Database. Energies are from PBE-GGA.

Cell lengths 4.6274, 4.6274, 4.6274 Å; angles 60.00, 60.00, 60.00 degrees
Fractional coordinates of all 4 atoms:
Nb1 0.0000 0.0000 0.0000
Co1 0.2500 0.2500 0.2500
Hg1 0.5000 0.5000 0.5000
Hg2 0.7500 0.7500 0.7500

Formation energy from the elements = 1.95 eV per formula unit
E_tot = -15.8 eV for the cell shown
Magnetic moment = 0.242 μB/cell

# 5
Here is crystalline NbCoHgPb at its relaxed geometry from the Open Quantum Materials Database. Energies are from PBE-GGA.

Cell lengths 4.7811, 4.7811, 4.7811 Å; angles 60.00, 60.00, 60.00 degrees
Fractional coordinates of all 4 atoms:
Nb1 0.0000 0.0000 0.0000
Co1 0.7500 0.7500 0.7500
Hg1 0.2500 0.2500 0.2500
Pb1 0.5000 0.5000 0.5000

Relative energy among the computed polymorphs = 0.057 eV per atom
E_tot = -18.5 eV for the cell shown
Magnetic moment = 0.016 μB/cell

# 6
Here is crystalline NbCoHgPb at its relaxed geometry from the Open Quantum Materials Database. Energies are from PBE-GGA.

Cell lengths 4.7111, 4.7111, 4.7111 Å; angles 60.00, 60.00, 60.00 degrees
Fractional coordinates of all 4 atoms:
Nb1 0.0000 0.0000 0.0000
Co1 0.5000 0.5000 0.5000
Hg1 0.7500 0.7500 0.7500
Pb1 0.2500 0.2500 0.2500

Relative energy among the computed polymorphs = 0.000 eV per atom
E_tot = -18.8 eV for the cell shown
Magnetic moment = 2.119 μB/cell